# 1
A plane-wave DFT calculation with PBE-GGA was carried out for a relaxed structure of CdRuW2.

Values from the calculation:
size of the total moment: 0.00 μB/cell
Fermi-level density of states: 3.52 states/eV per cell

a = 3.245 Å, b = 4.422 Å, c = 4.547 Å
α = 90.00°, β = 90.00°, γ = 90.00°
Fractional coordinates of all 4 atoms:
Ru 0.000 0.500 0.500
W 0.500 0.500 0.000
W 0.000 0.000 0.000
Cd 0.500 0.000 0.500

---

# 2
A plane-wave DFT calculation with PBE-GGA was carried out for a relaxed structure of Cd2RuW.

Values from the calculation:
size of the total moment: 0.01 μB/cell
Fermi-level density of states: 8.49 states/eV per cell

a = 7.578 Å, b = 7.578 Å, c = 5.979 Å
α = 50.68°, β = 50.68°, γ = 90.00°
Fractional coordinates of all 8 atoms:
Cd 0.136 0.625 0.250
Ru 0.500 0.500 0.000
W 0.750 0.250 0.500
Cd 0.375 0.386 0.750
W 0.000 0.000 0.000
Cd 0.875 0.864 0.750
Ru 0.250 0.750 0.500
Cd 0.614 0.125 0.250

---

| no. | total DFT energy (no corrections) (eV/atom) |
| --- | --- |
| 1 | -8.50 |
| 2 | -4.86 |